[1]
Computed, not measured: crystalline NdTm5Pb4 at its relaxed geometry at the PBE-GGA level of DFT.

Structure (POSCAR):
```
NdTm5Pb4
1.0
4.607 0.000 0.000
0.000 7.834 -0.281
-2.303 -1.441 8.782
Pb Tm Nd
4 5 1
direct
0.042 0.287 0.084
0.313 0.976 0.626
0.958 0.713 0.916
0.687 0.024 0.374
0.139 0.727 0.278
0.500 0.500 0.000
0.786 0.676 0.573
0.861 0.273 0.722
0.214 0.324 0.427
0.500 0.000 0.000
```

ΔE_f   -0.2093 eV per atom
Space-group type   C2/m (12)

---

[2]
Computed, not measured: crystalline Sr3MgZn3 at its relaxed geometry at the PBE-GGA level of DFT.

Structure (POSCAR):
```
Sr3MgZn3
1.0
4.713 0.000 0.000
-2.357 5.854 0.000
0.000 0.000 15.304
Sr Zn Mg
6 6 2
direct
0.791 0.581 0.395
0.791 0.581 0.105
0.209 0.419 0.895
0.504 0.007 0.250
0.496 0.993 0.750
0.209 0.419 0.605
0.204 0.409 0.250
0.920 0.839 0.597
0.080 0.161 0.097
0.796 0.591 0.750
0.080 0.161 0.403
0.920 0.839 0.903
0.500 0.000 0.000
0.500 0.000 0.500
```

ΔE_f   -0.1868 eV per atom
Space-group type   Cmcm (63)

---

[3]
Computed, not measured: crystalline CeSnI6 at its relaxed geometry at the PBE-GGA level of DFT.

Structure (POSCAR):
```
CeSnI6
1.0
-6.142 -1.612 -4.754
6.831 2.886 -2.818
2.302 -7.214 1.338
I Ce Sn
6 1 1
direct
0.586 0.891 0.744
0.109 0.414 0.256
0.891 0.586 0.744
0.414 0.109 0.256
0.748 0.748 0.261
0.252 0.252 0.739
0.500 0.500 0.500
0.000 0.000 0.000
```

E_form (uncorrected)   -882.7 meV/atom
Relative energy among the computed polymorphs   0 meV/atom
Space-group type   C2/m (12)

---

[4]
Computed, not measured: crystalline CaTa2Co at its relaxed geometry at the PBE-GGA level of DFT.

Structure (POSCAR):
```
CaTa2Co
1.0
9.741 -0.011 -0.007
9.280 2.961 -0.007
9.280 1.439 2.587
Ta Ca Co
2 1 1
direct
0.484 0.484 0.484
0.016 0.016 0.016
0.250 0.250 0.250
0.750 0.750 0.750
```

ΔE_f   0.5429 eV per atom
Relative energy among the computed polymorphs   326 meV/atom
Space-group type   R-3m (166)

---

[5]
Computed, not measured: crystalline Cs2BaTlO4 at its relaxed geometry at the PBE-GGA level of DFT.

Structure (POSCAR):
```
Cs2BaTlO4
1.0
7.850 -0.462 -0.044
-0.467 7.849 -0.044
-3.670 -3.672 6.206
O Tl Cs Ba
8 2 4 2
direct
0.202 0.726 0.957
0.226 0.702 0.457
0.798 0.274 0.043
0.177 0.196 0.985
0.696 0.677 0.485
0.823 0.804 0.015
0.304 0.323 0.515
0.774 0.298 0.543
0.000 0.000 0.000
0.500 0.500 0.500
0.500 0.000 0.000
0.000 0.000 0.500
0.500 0.500 0.000
0.500 0.000 0.500
0.000 0.500 0.000
0.000 0.500 0.500
```

E_form (uncorrected)   -1223.6 meV/atom
Space-group type   C2/c (15)

---

[6]
Computed, not measured: crystalline Ba2LaOs at its relaxed geometry at the PBE-GGA level of DFT.

Structure (POSCAR):
```
Ba2LaOs
1.0
3.681 0.031 0.000
-0.030 3.681 0.000
0.000 0.000 10.752
Ba Os La
2 1 1
direct
0.000 0.000 0.925
0.000 0.000 0.575
0.500 0.500 0.750
0.500 0.500 0.250
```

ΔE_f   0.6974 eV per atom
Relative energy among the computed polymorphs   504 meV/atom
Space-group type   P4/mmm (123)

---

[7]
Computed, not measured: crystalline AlIn2Os at its relaxed geometry at the PBE-GGA level of DFT.

Structure (POSCAR):
```
AlIn2Os
1.0
4.727 0.000 0.000
0.000 4.727 0.000
0.000 0.000 3.292
Os Al In
1 1 2
direct
0.500 0.000 0.500
0.000 0.500 0.500
0.500 0.500 0.000
0.000 0.000 0.000
```

ΔE_f   0.4707 eV per atom
Space-group type   P4/mmm (123)

---

[8]
Computed, not measured: crystalline SrBeSe at its relaxed geometry at the PBE-GGA level of DFT.

Structure (POSCAR):
```
SrBeSe
1.0
-4.278 -4.581 2.932
-0.517 -4.047 4.633
-3.549 1.414 1.653
Be Sr Se
1 1 1
direct
0.965 0.965 0.035
0.663 0.663 0.337
0.372 0.372 0.628
```

E_form (uncorrected)   -378.6 meV/atom
Relative energy among the computed polymorphs   185 meV/atom
Space-group type   Fmm2 (42)

---

[9]
Computed, not measured: crystalline PrSm5In at its relaxed geometry at the PBE-GGA level of DFT.

Structure (POSCAR):
```
PrSm5In
1.0
-6.933 -2.298 -8.142
-1.873 -5.557 3.163
2.101 5.558 3.990
Sm In Pr
5 1 1
direct
0.360 0.774 0.000
0.315 0.239 0.478
0.109 0.500 0.000
0.837 0.761 0.522
0.360 0.226 0.000
0.828 0.500 0.000
0.722 0.000 0.000
```

ΔE_f   0.0675 eV per atom
Space-group type   Imm2 (44)

---

[10]
Computed, not measured: crystalline RbIn5Sn2 at its relaxed geometry at the PBE-GGA level of DFT.

Structure (POSCAR):
```
RbIn5Sn2
1.0
4.478 0.000 0.000
2.239 7.749 0.626
2.239 2.039 7.502
Rb Sn In
1 2 5
direct
0.000 0.000 0.000
0.754 0.746 0.746
0.246 0.254 0.254
0.632 0.173 0.563
0.632 0.563 0.173
0.368 0.827 0.437
0.000 0.500 0.500
0.368 0.437 0.827
```

ΔE_f   -0.0285 eV per atom
Space-group type   Immm (71)

---

[11]
Computed, not measured: crystalline Zr2AlGe at its relaxed geometry at the PBE-GGA level of DFT.

Structure (POSCAR):
```
Zr2AlGe
1.0
-7.331 1.182 0.901
-0.771 -6.901 2.781
-3.549 -1.819 4.562
Zr Ge Al
4 2 2
direct
0.634 0.125 0.250
0.875 0.884 0.750
0.116 0.625 0.250
0.375 0.366 0.750
0.750 0.250 0.500
0.000 0.000 0.000
0.250 0.750 0.500
0.500 0.500 0.000
```

ΔE_f   -0.2683 eV per atom
Space-group type   I-42d (122)

---

[12]
Computed, not measured: crystalline PmDy3Y at its relaxed geometry at the PBE-GGA level of DFT.

Structure (POSCAR):
```
PmDy3Y
1.0
3.630 -0.003 0.000
-1.807 8.401 0.000
0.000 0.000 11.591
Dy Y Pm
6 2 2
direct
0.352 0.203 0.750
0.154 0.809 0.001
0.648 0.797 0.250
0.846 0.191 0.501
0.846 0.191 0.999
0.154 0.809 0.499
0.982 0.466 0.250
0.018 0.534 0.750
0.309 0.118 0.250
0.691 0.882 0.750
```

ΔE_f   0.3259 eV per atom
Relative energy among the computed polymorphs   314 meV/atom
Space-group type   Cmcm (63)

---

VASP energy
In order: -4.4052, -1.6814, -3.2874, -7.6603, -4.4522, -4.3033, -4.6416, -3.3428, -4.3773, -2.8617, -6.6324, -4.6783
Unit: eV per atom